## 1
Entry from Alexandria: a geometry-optimized La3PuRh3 structure (GGA-PBE).

## Properties
Symmetry   C2/m
Crystal system   monoclinic

```
14
Lattice="4.668 -5.284 0.000 4.668 5.284 0.000 -0.057 0.000 7.303" Properties=species:S:1:pos:R:3 pbc="T T T"
La 4.668 3.416 0.000
La 4.639 2.600 3.652
La 3.131 0.000 0.962
La 6.147 0.000 6.341
La 4.639 -2.600 3.652
La 4.668 -3.416 0.000
Pu 2.130 0.000 4.685
Pu 7.148 0.000 2.619
Rh 2.361 2.471 5.757
Rh 0.653 0.000 2.251
Rh 2.361 -2.471 5.757
Rh 6.917 2.471 1.546
Rh 8.626 0.000 5.052
Rh 6.917 -2.471 1.546
```

---

## 2
Entry from Alexandria: a geometry-optimized La3PuRh3 structure (GGA-PBE).

## Properties
Symmetry   Pnma
Crystal system   orthorhombic

```
28
Lattice="12.280 0.000 0.000 0.000 4.152 0.000 0.000 0.000 14.170" Properties=species:S:1:pos:R:3 pbc="T T T"
La 0.626 1.038 1.428
La 2.251 3.114 7.425
La 3.075 1.038 4.326
La 3.065 3.114 11.411
La 3.889 1.038 0.341
La 5.514 3.114 8.513
La 6.766 1.038 5.657
La 8.391 3.114 13.829
La 9.215 1.038 2.758
La 9.205 3.114 9.843
La 10.029 1.038 6.744
La 11.654 3.114 12.742
Pu 0.236 1.038 9.740
Pu 5.904 3.114 2.655
Pu 6.376 1.038 11.515
Pu 12.044 3.114 4.430
Rh 0.582 1.038 6.107
Rh 1.317 1.038 12.539
Rh 2.870 3.114 2.338
Rh 3.270 1.038 9.422
Rh 4.823 3.114 5.455
Rh 5.558 3.114 13.191
Rh 6.722 1.038 0.978
Rh 7.457 1.038 8.715
Rh 9.011 3.114 4.747
Rh 9.410 1.038 11.832
Rh 10.963 3.114 1.630
Rh 11.698 3.114 8.063
```

---

It is 1 that is the least stable of them.

---

## 1
Entry from Alexandria: a geometry-optimized LaPuRu structure (GGA-PBE).

## Properties
Symmetry   P2_1/m
Crystal system   monoclinic

```
6
Lattice="4.830 0.000 0.000 0.000 4.248 0.000 -0.302 0.000 7.436" Properties=species:S:1:pos:R:3 pbc="T T T"
La 1.075 1.062 2.741
La 3.452 3.186 4.695
Pu 0.836 3.186 7.306
Pu 3.691 1.062 0.131
Ru 1.370 1.062 5.698
Ru 3.158 3.186 1.739
```

---

## 2
Entry from Alexandria: a geometry-optimized LaPuRu structure (GGA-PBE).

## Properties
Symmetry   I4mm
Crystal system   tetragonal

```
6
Lattice="3.601 0.000 0.000 0.000 3.601 0.000 0.000 0.000 11.280" Properties=species:S:1:pos:R:3 pbc="T T T"
La 0.000 0.000 0.000
La 1.800 1.800 5.640
Pu 0.000 0.000 3.233
Pu 1.800 1.800 8.873
Ru 0.000 0.000 7.818
Ru 1.800 1.800 2.178
```

---

## 3
Entry from Alexandria: a geometry-optimized LaPuRu structure (GGA-PBE).

## Properties
Symmetry   P2_1/c
Crystal system   monoclinic

```
12
Lattice="6.261 0.000 0.000 0.000 7.237 0.000 -3.240 0.000 6.804" Properties=species:S:1:pos:R:3 pbc="T T T"
La 0.116 1.142 2.856
La -1.504 2.477 6.258
La 4.526 4.761 0.546
La 2.906 6.096 3.947
Pu -0.323 4.764 3.911
Pu 1.296 6.092 0.509
Pu 1.725 1.146 6.295
Pu 3.345 2.473 2.893
Ru 1.200 4.000 1.985
Ru -0.419 6.857 5.387
Ru 3.441 0.381 1.417
Ru 1.821 3.238 4.819
```

---

It is 2 that is the least stable of them.

---

## 1
Entry from Alexandria: a geometry-optimized LaPuRu structure (GGA-PBE).

## Properties
Symmetry   F-43m
Crystal system   cubic

```
12
Lattice="6.858 0.000 0.000 0.000 6.858 0.000 0.000 0.000 6.858" Properties=species:S:1:pos:R:3 pbc="T T T"
La 0.000 0.000 0.000
La 0.000 3.429 3.429
La 3.429 0.000 3.429
La 3.429 3.429 0.000
Pu 0.000 0.000 3.429
Pu 0.000 3.429 0.000
Pu 3.429 0.000 0.000
Pu 3.429 3.429 3.429
Ru 1.715 1.715 5.144
Ru 1.715 5.144 1.715
Ru 5.144 1.715 1.715
Ru 5.144 5.144 5.144
```

---

## 2
Entry from Alexandria: a geometry-optimized LaPuRu structure (GGA-PBE).

## Properties
Symmetry   P-6m2
Crystal system   hexagonal

```
3
Lattice="4.439 0.000 0.000 -2.219 3.844 0.000 0.000 0.000 4.519" Properties=species:S:1:pos:R:3 pbc="T T T"
La 0.000 0.000 0.000
Pu 2.219 1.281 2.260
Ru 0.000 2.563 2.260
```

---

It is 1 that is the least stable of them.